Compound: WAuBr3
Source: Alexandria
Functional: PBE-GGA
Structure: optimized geometry

Cell and atoms, written as CIF:
```
data_WAuBr3
_space_group_name_H-M_alt 'P m -3 m'
_space_group_IT_number 221
_space_group_name_Hall '-P 4 2 3'
_cell_length_a 5.189
_cell_length_b 5.189
_cell_length_c 5.189
_cell_angle_alpha 90.00
_cell_angle_beta 90.00
_cell_angle_gamma 90.00
loop_
_atom_site_label
_atom_site_fract_x
_atom_site_fract_y
_atom_site_fract_z
W1 0.000 0.000 0.000
Au1 0.500 0.500 0.500
Br1 0.000 0.000 0.500
```

## Properties
distance to the lowest polymorph of the same formula = 0.00 eV/f.u.
density = 7.37 Mg/m³
energy = -3.6464 eV/atom
calculated volume = 140 Å³ per cell
raw formation energy = 0.603 eV per atom

=====

Compound: K2Na2CeS4
Source: Alexandria
Functional: PBE-GGA
Structure: optimized geometry

Cell and atoms, written as CIF:
```
data_K2Na2CeS4
_space_group_name_H-M_alt 'C 1 2/m 1'
_space_group_IT_number 12
_cell_length_a 14.855
_cell_length_b 4.308
_cell_length_c 10.487
_cell_angle_alpha 90.00
_cell_angle_beta 126.93
_cell_angle_gamma 90.00
loop_
_space_group_symop_operation_xyz
'x,y,z'
'-x,-y,-z'
'-x,y,-z'
'x,-y,z'
'x+1/2,y+1/2,z'
'-x+1/2,-y+1/2,-z'
'-x+1/2,y+1/2,-z'
'x+1/2,-y+1/2,z'
loop_
_atom_site_label
_atom_site_fract_x
_atom_site_fract_y
_atom_site_fract_z
K1 0.180 0.000 0.297
Na1 0.149 0.500 0.880
Ce1 0.000 0.000 0.500
S1 0.065 0.500 0.398
S2 0.209 0.000 0.785
```

## Properties
density = 2.43 Mg/m³
energy = -4.4231 eV/atom
calculated volume = 536 Å³ per cell
raw formation energy = -1.392 eV per atom

=====

Compound: Er4Te2AsPd
Source: Alexandria
Functional: PBE-GGA
Structure: optimized geometry

Cell and atoms, written as CIF:
```
data_Er4Te2AsPd
_space_group_name_H-M_alt 'P 1 2/m 1'
_space_group_IT_number 10
_cell_length_a 7.342
_cell_length_b 4.140
_cell_length_c 7.379
_cell_angle_alpha 90.00
_cell_angle_beta 108.87
_cell_angle_gamma 90.00
loop_
_space_group_symop_operation_xyz
'x,y,z'
'-x,-y,-z'
'-x,y,-z'
'x,-y,z'
loop_
_atom_site_label
_atom_site_fract_x
_atom_site_fract_y
_atom_site_fract_z
Er1 0.233 0.000 0.213
Er2 0.261 0.500 0.780
Te1 0.000 0.000 0.500
Te2 0.500 0.500 0.500
As1 0.500 0.000 0.000
Pd1 0.000 0.500 0.000
```

## Properties
density = 8.65 Mg/m³
energy = -5.5096 eV/atom
calculated volume = 212 Å³ per cell
raw formation energy = -1.212 eV per atom

=====

Compound: LiMn2HAu
Source: Alexandria
Functional: PBE-GGA
Structure: optimized geometry

Cell and atoms, written as CIF:
```
data_LiMn2HAu
_space_group_name_H-M_alt 'P 4/m m m'
_space_group_IT_number 123
_space_group_name_Hall '-P 4 2'
_cell_length_a 3.787
_cell_length_b 3.787
_cell_length_c 4.123
_cell_angle_alpha 90.00
_cell_angle_beta 90.00
_cell_angle_gamma 90.00
loop_
_atom_site_label
_atom_site_fract_x
_atom_site_fract_y
_atom_site_fract_z
Li1 0.000 0.000 0.000
Mn1 0.000 0.500 0.500
H1 0.000 0.000 0.500
Au1 0.500 0.500 0.000
```

## Properties
density = 8.84 Mg/m³
energy = -5.4324 eV/atom
calculated volume = 59 Å³ per cell

=====

Compound: MnIn3Sb
Source: Alexandria
Functional: PBE-GGA
Structure: optimized geometry

Cell and atoms, written as CIF:
```
data_MnIn3Sb
_space_group_name_H-M_alt 'P m -3 m'
_space_group_IT_number 221
_space_group_name_Hall '-P 4 2 3'
_cell_length_a 5.690
_cell_length_b 5.690
_cell_length_c 5.690
_cell_angle_alpha 90.00
_cell_angle_beta 90.00
_cell_angle_gamma 90.00
loop_
_atom_site_label
_atom_site_fract_x
_atom_site_fract_y
_atom_site_fract_z
Mn1 0.000 0.000 0.000
In1 0.000 0.500 0.500
Sb1 0.500 0.500 0.500
```

## Properties
distance to the lowest polymorph of the same formula = 2.58 eV/f.u.
density = 4.70 Mg/m³
energy = -3.4144 eV/atom
calculated volume = 184 Å³ per cell
raw formation energy = 0.887 eV per atom

=====

Compound: BaMgZr
Source: Alexandria
Functional: PBE-GGA
Structure: optimized geometry

Cell and atoms, written as CIF:
```
data_BaMgZr
_space_group_name_H-M_alt 'P 3 m 1'
_space_group_IT_number 156
_cell_length_a 5.6614
_cell_length_b 5.6614
_cell_length_c 3.2441
_cell_angle_alpha 90.00
_cell_angle_beta 90.00
_cell_angle_gamma 120.00
loop_
_space_group_symop_operation_xyz
'x,y,z'
'-y,x-y,z'
'-x+y,-x,z'
'-y,-x,z'
'-x+y,y,z'
'x,x-y,z'
loop_
_atom_site_label
_atom_site_fract_x
_atom_site_fract_y
_atom_site_fract_z
Ba1 0.0000 0.0000 0.0000
Mg1 0.6667 0.3333 0.3681
Zr1 0.3333 0.6667 0.5818
```

## Properties
distance to the lowest polymorph of the same formula = 0.84 eV/f.u.
density = 4.66 Mg/m³
DFT formation energy = 0.51 eV/atom
energy = -3.5099 eV/atom
calculated volume = 90 Å³ per cell

=====

- Which value of density does entry 2 give?
  2.43 Mg/m³